# 1
First-principles (GGA-PBE) data for a relaxed structure of KFeAu2, as listed in Alexandria.

Unit cell a=5.3070 b=2.7944 c=5.7880 alpha=90.00 beta=90.24 gamma=90.00
Last column: nearest neighbours and their distance in Å.
Space group P2/m (No. 10)
Symmetry-distinct sites (fractional):
K (0.0000, 0.0000, 0.0000)  2 K 2.79, 6 Au 2.89-3.00
Fe (0.5000, 0.5000, 0.5000)  2 Fe 2.79, 6 Au 2.89-3.00
Au (0.0000, 0.0000, 0.5000)  2 Au 2.79, 2 K 2.89, 4 Fe 3.00
Au (0.5000, 0.5000, 0.0000)  2 Au 2.79, 2 Fe 2.89, 4 K 3.00

## Properties
* M_tot: 3.2 Bohr magnetons per cell
* formation energy from the elements: 0.41 eV/atom


# 2
First-principles (GGA-PBE) data for a relaxed structure of K2FeAu, as listed in Alexandria.

Unit cell a=3.6464 b=3.6464 c=10.0420 alpha=90.00 beta=90.00 gamma=90.00
Last column: nearest neighbours and their distance in Å.
Space group P4mm (No. 99)
Symmetry-distinct sites (fractional):
K (0.0000, 0.0000, 0.0000)  1 Au 3.23
K (0.5000, 0.5000, 0.4187)  1 Fe 3.12
Fe (0.5000, 0.5000, 0.7295)  4 Au 2.63
Au (0.0000, 0.0000, 0.6785)  4 Fe 2.63

## Properties
* M_tot: 2.9 Bohr magnetons per cell
* formation energy from the elements: 0.34 eV/atom


# 3
First-principles (GGA-PBE) data for a relaxed structure of KFeAu2, as listed in Alexandria.

Unit cell a=4.5416 b=4.5416 c=17.9524 alpha=90.00 beta=90.00 gamma=120.00
Last column: nearest neighbours and their distance in Å.
Space group R-3m (No. 166, hexagonal axes)
Symmetry-distinct sites (fractional):
K (0.0000, 0.0000, 0.0000)  8 Au 3.42-3.67
Fe (0.0000, 0.0000, 0.5000)  6 Au 2.66
Au (0.0000, 0.0000, 0.1902)  3 Fe 2.66, 3 Au 2.76

## Properties
* M_tot: 8.6 Bohr magnetons per cell
* formation energy from the elements: 0.10 eV/atom


# 4
First-principles (GGA-PBE) data for a relaxed structure of K2FeAu, as listed in Alexandria.

Unit cell a=5.9655 b=9.0103 c=4.3644 alpha=90.00 beta=90.00 gamma=90.00
Last column: nearest neighbours and their distance in Å.
Space group Cmmm (No. 65)
Symmetry-distinct sites (fractional):
K (0.2500, 0.2500, 0.0000)  2 K 2.98
Fe (0.0000, 0.0000, 0.5000)  2 Au 2.98
Au (0.0000, 0.5000, 0.5000)  2 Fe 2.98

## Properties
* M_tot: 6.3 Bohr magnetons per cell
* formation energy from the elements: 0.62 eV/atom


# 5
First-principles (GGA-PBE) data for a relaxed structure of KMgFeAu2, as listed in Alexandria.

Unit cell a=5.0020 b=5.0020 c=5.3152 alpha=90.00 beta=90.00 gamma=90.00
Last column: nearest neighbours and their distance in Å.
Space group P4/mmm (No. 123)
Symmetry-distinct sites (fractional):
K (0.0000, 0.0000, 0.0000)  2 Fe 2.66
Mg (0.5000, 0.5000, 0.0000)  4 K 3.54, 8 Au 3.65
Fe (0.0000, 0.0000, 0.5000)  4 Au 2.50, 2 K 2.66
Au (0.0000, 0.5000, 0.5000)  2 Fe 2.50

## Properties
* M_tot: 3.2 Bohr magnetons per cell
* formation energy from the elements: 0.57 eV/atom


# 6
First-principles (GGA-PBE) data for a relaxed structure of K2FePdAu, as listed in Alexandria.

Unit cell a=6.2549 b=6.2549 c=4.6423 alpha=90.00 beta=90.00 gamma=90.00
Last column: nearest neighbours and their distance in Å.
Space group P4/mmm (No. 123)
Symmetry-distinct sites (fractional):
K (0.0000, 0.5000, 0.0000)  2 Fe 3.13
Fe (0.0000, 0.0000, 0.0000)  2 Pd 2.32
Pd (0.0000, 0.0000, 0.5000)  2 Fe 2.32
Au (0.5000, 0.5000, 0.5000)  8 K 3.89

## Properties
* M_tot: 3.5 Bohr magnetons per cell
* formation energy from the elements: 0.63 eV/atom


# 7
First-principles (GGA-PBE) data for a relaxed structure of LaFe4Au, as listed in Alexandria.

Unit cell a=7.2661 b=7.2661 c=7.2661 alpha=90.00 beta=90.00 gamma=90.00
Last column: nearest neighbours and their distance in Å.
Space group F-43m (No. 216)
Symmetry-distinct sites (fractional):
La (0.0000, 0.0000, 0.0000)  12 Fe 3.02, 4 Au 3.15
Fe (0.1238, 0.1238, 0.6238)  6 Fe 2.54-2.59
Au (0.2500, 0.2500, 0.2500)  12 Fe 3.01, 4 La 3.15

## Properties
* M_tot: 39.0 Bohr magnetons per cell
* formation energy from the elements: 0.04 eV/atom


# 8
First-principles (GGA-PBE) data for a relaxed structure of LaFeAu2, as listed in Alexandria.

Unit cell a=4.5440 b=4.5440 c=14.9850 alpha=90.00 beta=90.00 gamma=120.00
Last column: nearest neighbours and their distance in Å.
Space group R3m (No. 160, hexagonal axes)
Symmetry-distinct sites (fractional):
La (0.0000, 0.0000, 0.0000)  1 Fe 2.90, 4 Au 3.14-3.21
Fe (0.0000, 0.0000, 0.8062)  6 Au 2.62-2.83, 1 La 2.90
Au (0.0000, 0.0000, 0.2097)  3 Fe 2.83, 3 Au 2.86, 1 La 3.14
Au (0.0000, 0.0000, 0.4675)  3 Fe 2.62, 3 Au 2.86

## Properties
* M_tot: 7.3 Bohr magnetons per cell
* formation energy from the elements: -0.29 eV/atom


# 9
First-principles (GGA-PBE) data for a relaxed structure of LaFe2Au, as listed in Alexandria.

Unit cell a=3.4588 b=3.4588 c=6.5288 alpha=90.00 beta=90.00 gamma=90.00
Last column: nearest neighbours and their distance in Å.
Space group P4/mmm (No. 123)
Symmetry-distinct sites (fractional):
La (0.0000, 0.0000, 0.0000)  8 Fe 3.23, 2 Au 3.26, 4 La 3.46
Fe (0.5000, 0.5000, 0.3224)  1 Fe 2.32
Au (0.0000, 0.0000, 0.5000)  8 Fe 2.71

## Properties
* M_tot: 5.2 Bohr magnetons per cell
* formation energy from the elements: 0.22 eV/atom


# 10
First-principles (GGA-PBE) data for a relaxed structure of LaFe3Au, as listed in Alexandria.

Unit cell a=4.8371 b=4.8371 c=4.8371 alpha=90.00 beta=90.00 gamma=90.00
Last column: nearest neighbours and their distance in Å.
Space group Pm-3m (No. 221)
Symmetry-distinct sites (fractional):
La (0.0000, 0.0000, 0.0000)  12 Fe 3.42
Fe (0.0000, 0.5000, 0.5000)  2 Au 2.42
Au (0.5000, 0.5000, 0.5000)  6 Fe 2.42

## Properties
* M_tot: 8.4 Bohr magnetons per cell
* formation energy from the elements: 0.75 eV/atom


# 11
First-principles (GGA-PBE) data for a relaxed structure of LaFe2Au, as listed in Alexandria.

Unit cell a=3.0737 b=3.0737 c=28.0625 alpha=90.00 beta=90.00 gamma=120.00
Last column: nearest neighbours and their distance in Å.
Space group R-3m (No. 166, hexagonal axes)
Symmetry-distinct sites (fractional):
La (0.0000, 0.0000, 0.0000)  6 La 3.07, 6 Fe 3.16
Fe (0.0000, 0.0000, 0.2403)  3 Au 2.72
Au (0.0000, 0.0000, 0.5000)  6 Fe 2.72

## Properties
* M_tot: 18.0 Bohr magnetons per cell
* formation energy from the elements: 0.62 eV/atom


# 12
First-principles (GGA-PBE) data for a relaxed structure of LaFeAu2, as listed in Alexandria.

Unit cell a=3.8122 b=4.3829 c=5.5280 alpha=90.00 beta=108.38 gamma=90.00
Last column: nearest neighbours and their distance in Å.
Space group P2/m (No. 10)
Symmetry-distinct sites (fractional):
La (0.0000, 0.0000, 0.0000)  2 Fe 2.82
Fe (0.5000, 0.0000, 0.5000)  4 Au 2.63, 2 La 2.82
Au (0.3627, 0.5000, 0.7168)  2 Fe 2.63, 1 Au 2.90

## Properties
* M_tot: 2.3 Bohr magnetons per cell
* formation energy from the elements: -0.15 eV/atom


# 13
First-principles (GGA-PBE) data for a relaxed structure of La2FeAu, as listed in Alexandria.

Unit cell a=4.1228 b=4.5730 c=5.9047 alpha=90.00 beta=110.32 gamma=90.00
Last column: nearest neighbours and their distance in Å.
Space group Pm (No. 6)
Symmetry-distinct sites (fractional):
La (0.0000, 0.0000, 0.0000)  3 Fe 3.09-3.20, 4 Au 3.18-3.19
La (0.2853, 0.5000, 0.5716)  3 Au 3.12-3.19, 4 Fe 3.16
Fe (0.7209, 0.0000, 0.4416)  2 Au 2.81, 1 La 3.09
Au (0.5734, 0.5000, 0.1472)  2 Fe 2.81, 2 La 3.12-3.13

## Properties
* M_tot: 1.3 Bohr magnetons per cell
* formation energy from the elements: -0.24 eV/atom


# 14
First-principles (GGA-PBE) data for a relaxed structure of LaFe2Au, as listed in Alexandria.

Unit cell a=4.0605 b=4.5497 c=4.8316 alpha=90.00 beta=90.00 gamma=90.00
Last column: nearest neighbours and their distance in Å.
Space group Pmmm (No. 47)
Symmetry-distinct sites (fractional):
La (0.0000, 0.0000, 0.0000)  4 Au 3.16, 8 Fe 3.25
Fe (0.5000, 0.5000, 0.2312)  1 Fe 2.23
Au (0.5000, 0.0000, 0.5000)  4 Fe 2.62

## Properties
* M_tot: 4.7 Bohr magnetons per cell
* formation energy from the elements: 0.18 eV/atom


# 15
First-principles (GGA-PBE) data for a relaxed structure of La2FeAu, as listed in Alexandria.

Unit cell a=12.3690 b=3.6014 c=4.7858 alpha=90.00 beta=112.69 gamma=90.00
Last column: nearest neighbours and their distance in Å.
Space group Cm (No. 8)
Symmetry-distinct sites (fractional):
La (0.0000, 0.0000, 0.0000)  4 Fe 3.04-3.05, 2 La 3.29
La (0.1977, 0.0000, 0.6973)  4 Au 3.14, 2 La 3.29, 2 Fe 3.34
Fe (0.4517, 0.0000, 0.4521)  2 Au 2.65
Au (0.2814, 0.5000, 0.2809)  2 Fe 2.65

## Properties
* M_tot: 3.2 Bohr magnetons per cell
* formation energy from the elements: -0.15 eV/atom


# 16
First-principles (GGA-PBE) data for a relaxed structure of LaFeAu2, as listed in Alexandria.

Unit cell a=6.9553 b=6.9553 c=6.9553 alpha=90.00 beta=90.00 gamma=90.00
Last column: nearest neighbours and their distance in Å.
Space group F-43m (No. 216)
Symmetry-distinct sites (fractional):
La (0.0000, 0.0000, 0.0000)  4 Fe 3.01, 4 Au 3.01
Fe (0.2500, 0.2500, 0.7500)  4 La 3.01, 4 Au 3.01
Au (0.0000, 0.0000, 0.5000)  4 Au 3.01, 4 Fe 3.01
Au (0.2500, 0.2500, 0.2500)  4 La 3.01, 4 Au 3.01

## Properties
* M_tot: 10.6 Bohr magnetons per cell
* formation energy from the elements: -0.10 eV/atom


# 17
First-principles (GGA-PBE) data for a relaxed structure of La2FeAu, as listed in Alexandria.

Unit cell a=7.1175 b=7.1175 c=7.1175 alpha=90.00 beta=90.00 gamma=90.00
Last column: nearest neighbours and their distance in Å.
Space group F-43m (No. 216)
Symmetry-distinct sites (fractional):
La (0.0000, 0.0000, 0.0000)  4 Au 3.08, 4 La 3.08
La (0.2500, 0.2500, 0.2500)  4 La 3.08, 4 Fe 3.08
Fe (0.0000, 0.0000, 0.5000)  4 La 3.08, 4 Au 3.08
Au (0.2500, 0.2500, 0.7500)  4 La 3.08, 4 Fe 3.08

## Properties
* M_tot: 8.9 Bohr magnetons per cell
* formation energy from the elements: -0.06 eV/atom


# 18
First-principles (GGA-PBE) data for a relaxed structure of La3FeAu, as listed in Alexandria.

Unit cell a=5.2167 b=5.2167 c=5.2167 alpha=90.00 beta=90.00 gamma=90.00
Last column: nearest neighbours and their distance in Å.
Space group Pm-3m (No. 221)
Symmetry-distinct sites (fractional):
La (0.0000, 0.0000, 0.5000)  2 Fe 2.61
Fe (0.0000, 0.0000, 0.0000)  6 La 2.61
Au (0.5000, 0.5000, 0.5000)  12 La 3.69

## Properties
* M_tot: 0.0 Bohr magnetons per cell
* formation energy from the elements: -0.17 eV/atom


# 19
First-principles (GGA-PBE) data for a relaxed structure of LaFeAu2, as listed in Alexandria.

Unit cell a=3.4171 b=3.4171 c=7.1016 alpha=90.00 beta=90.00 gamma=90.00
Last column: nearest neighbours and their distance in Å.
Space group P4/mmm (No. 123)
Symmetry-distinct sites (fractional):
La (0.0000, 0.0000, 0.0000)  8 Au 3.22, 4 La 3.42, 2 Fe 3.55
Fe (0.0000, 0.0000, 0.5000)  8 Au 2.80
Au (0.5000, 0.5000, 0.3005)  4 Fe 2.80, 1 Au 2.83

## Properties
* M_tot: 3.1 Bohr magnetons per cell
* formation energy from the elements: -0.19 eV/atom


# 20
First-principles (GGA-PBE) data for a relaxed structure of La12Fe5Au3, as listed in Alexandria.

Unit cell a=16.7847 b=16.7847 c=16.7847 alpha=90.00 beta=90.00 gamma=90.00
Last column: nearest neighbours and their distance in Å.
Space group Ia-3d (No. 230)
Symmetry-distinct sites (fractional):
La (0.0311, 0.0550, 0.6504)  2 Fe 2.48-2.74
Fe (0.0000, 0.0000, 0.0000)  6 La 2.74
Fe (0.0000, 0.2500, 0.3750)  4 La 2.48
Au (0.0000, 0.2500, 0.1250)  8 La 3.24-3.34

## Properties
* M_tot: 0.0 Bohr magnetons per cell
* formation energy from the elements: -0.02 eV/atom


# 21
First-principles (GGA-PBE) data for a relaxed structure of La2Fe2Au, as listed in Alexandria.

Unit cell a=3.5527 b=3.5527 c=17.9299 alpha=90.00 beta=90.00 gamma=90.00
Last column: nearest neighbours and their distance in Å.
Space group I4/mmm (No. 139)
Symmetry-distinct sites (fractional):
La (0.0000, 0.0000, 0.1150)  4 Fe 3.00, 4 Au 3.25
Fe (0.0000, 0.5000, 0.2500)  4 Fe 2.51
Au (0.0000, 0.0000, 0.5000)  8 La 3.25, 4 Au 3.55

## Properties
* M_tot: 8.6 Bohr magnetons per cell
* formation energy from the elements: -0.07 eV/atom


# 22
First-principles (GGA-PBE) data for a relaxed structure of La2FeAu, as listed in Alexandria.

Unit cell a=4.0516 b=4.0516 c=22.7066 alpha=90.00 beta=90.00 gamma=120.00
Last column: nearest neighbours and their distance in Å.
Space group R-3m (No. 166, hexagonal axes)
Symmetry-distinct sites (fractional):
La (0.0000, 0.0000, 0.2381)  3 Fe 2.85, 3 Au 3.19
Fe (0.0000, 0.0000, 0.5000)  6 La 2.85
Au (0.0000, 0.0000, 0.0000)  6 La 3.19

## Properties
* M_tot: 2.2 Bohr magnetons per cell
* formation energy from the elements: -0.12 eV/atom


# 23
First-principles (GGA-PBE) data for a relaxed structure of La2FeAu, as listed in Alexandria.

Unit cell a=5.2090 b=5.2090 c=3.7208 alpha=90.00 beta=90.00 gamma=90.00
Last column: nearest neighbours and their distance in Å.
Space group P4/mmm (No. 123)
Symmetry-distinct sites (fractional):
La (0.0000, 0.5000, 0.0000)  4 Fe 3.20, 4 Au 3.20
Fe (0.0000, 0.0000, 0.5000)  8 La 3.20
Au (0.5000, 0.5000, 0.5000)  8 La 3.20

## Properties
* M_tot: 1.5 Bohr magnetons per cell
* formation energy from the elements: -0.19 eV/atom


# 24
First-principles (GGA-PBE) data for a relaxed structure of La2FeAu, as listed in Alexandria.

Unit cell a=4.2969 b=4.2969 c=6.0513 alpha=90.00 beta=90.00 gamma=90.00
Last column: nearest neighbours and their distance in Å.
Space group P4mm (No. 99)
Symmetry-distinct sites (fractional):
La (0.0000, 0.0000, 0.0000)  2 Au 3.00-3.05, 4 Fe 3.04
La (0.5000, 0.5000, 0.4513)  2 Fe 2.93-3.13, 4 Au 3.06
Fe (0.5000, 0.5000, 0.9677)  6 La 2.93-3.13
Au (0.0000, 0.0000, 0.5048)  6 La 3.00-3.06

## Properties
* M_tot: 1.3 Bohr magnetons per cell
* formation energy from the elements: -0.07 eV/atom


# 25
First-principles (GGA-PBE) data for a relaxed structure of LaFe2Au, as listed in Alexandria.

Unit cell a=3.1804 b=3.1804 c=7.2884 alpha=90.00 beta=90.00 gamma=90.00
Last column: nearest neighbours and their distance in Å.
Space group P4mm (No. 99)
Symmetry-distinct sites (fractional):
La (0.0000, 0.0000, 0.0000)  5 Fe 3.12-3.25, 4 La 3.18, 4 Au 3.27
Fe (0.0000, 0.0000, 0.5534)  4 Fe 2.50, 4 Au 2.80
Fe (0.5000, 0.5000, 0.7026)  4 Fe 2.50, 1 Au 2.75
Au (0.5000, 0.5000, 0.3251)  5 Fe 2.75-2.80

## Properties
* M_tot: 4.8 Bohr magnetons per cell
* formation energy from the elements: 0.03 eV/atom


# 26
First-principles (GGA-PBE) data for a relaxed structure of LaFe2Au, as listed in Alexandria.

Unit cell a=6.6468 b=6.6468 c=6.6468 alpha=90.00 beta=90.00 gamma=90.00
Last column: nearest neighbours and their distance in Å.
Space group Fm-3m (No. 225)
Symmetry-distinct sites (fractional):
La (0.0000, 0.0000, 0.0000)  8 Fe 2.88
Fe (0.2500, 0.2500, 0.2500)  4 La 2.88, 4 Au 2.88
Au (0.0000, 0.0000, 0.5000)  8 Fe 2.88

## Properties
* M_tot: 19.7 Bohr magnetons per cell
* formation energy from the elements: 0.24 eV/atom